# 1
# La2AgPb

Crystalline La2AgPb at its relaxed geometry (PBE-GGA, Alexandria via LeMat-Bulk).

Properties
The density of states at the Fermi level comes out at 9.561 states/eV/cell. The magnetization comes out at 0.00 μB per formula unit. The space-group type is R3m. Its formation energy is -19 meV/atom.

a = 3.774 Å, b = 3.774 Å, c = 30.555 Å
α = 90.00°, β = 90.00°, γ = 120.00°
Atoms (fractional coordinates):
La1 0.000 0.000 0.000
La2 0.000 0.000 0.238
La3 0.333 0.667 0.667
La4 0.333 0.667 0.905
La5 0.667 0.333 0.333
La6 0.667 0.333 0.572
Ag1 0.000 0.000 0.495
Ag2 0.333 0.667 0.162
Ag3 0.667 0.333 0.828
Pb1 0.000 0.000 0.759
Pb2 0.333 0.667 0.425
Pb3 0.667 0.333 0.092

=====

# 2
# LaAgPb4

Crystalline LaAgPb4 at its relaxed geometry (PBE-GGA, Alexandria via LeMat-Bulk).

Properties
The density of states at the Fermi level comes out at 4.168 states/eV/cell. The magnetization comes out at 0.00 μB per formula unit. The space-group type is F-43m. Its formation energy is 9 meV/atom.

a = 6.424 Å, b = 6.424 Å, c = 6.424 Å
α = 60.00°, β = 60.00°, γ = 60.00°
Atoms (fractional coordinates):
La1 0.000 0.000 0.000
Ag1 0.250 0.250 0.250
Pb1 0.123 0.626 0.626
Pb2 0.626 0.123 0.626
Pb3 0.626 0.626 0.123
Pb4 0.626 0.626 0.626

=====

# 3
# LaPm2Ag2Pb2

Crystalline LaPm2Ag2Pb2 at its relaxed geometry (PBE-GGA, Alexandria via LeMat-Bulk).

Properties
The density of states at the Fermi level comes out at 2.958 states/eV/cell. The magnetization comes out at 0.00 μB per formula unit. The space-group type is R-3m. Its formation energy is -342 meV/atom.

a = 9.465 Å, b = 9.465 Å, c = 9.465 Å
α = 30.70°, β = 30.70°, γ = 30.70°
Atoms (fractional coordinates):
La1 0.000 0.000 0.000
Pm1 0.136 0.136 0.136
Pm2 0.864 0.864 0.864
Ag1 0.440 0.440 0.440
Ag2 0.560 0.560 0.560
Pb1 0.266 0.266 0.266
Pb2 0.734 0.734 0.734

=====

# 4
# LaPr2Ag2Pb2

Crystalline LaPr2Ag2Pb2 at its relaxed geometry (PBE-GGA, Alexandria via LeMat-Bulk).

Properties
The density of states at the Fermi level comes out at 3.220 states/eV/cell. The magnetization comes out at 0.00 μB per formula unit. The space-group type is R-3m. Its formation energy is -330 meV/atom.

a = 9.571 Å, b = 9.571 Å, c = 9.571 Å
α = 30.43°, β = 30.43°, γ = 30.43°
Atoms (fractional coordinates):
La1 0.000 0.000 0.000
Pr1 0.136 0.136 0.136
Pr2 0.864 0.864 0.864
Ag1 0.437 0.437 0.437
Ag2 0.563 0.563 0.563
Pb1 0.267 0.267 0.267
Pb2 0.733 0.733 0.733